{
  "formula": "VCr3Re2",
  "functional": "PBE",
  "state": "optimized geometry",
  "lattice": [[0.000, 4.401, 7.303], [2.498, 0.000, 7.303], [2.498, 4.401, 0.000]],
  "species": ["V", "V", "Cr", "Cr", "Cr", "Cr", "Cr", "Cr", "Re", "Re", "Re", "Re"],
  "frac_coords": [[0.174, 0.174, 0.826], [0.826, 0.826, 0.174], [0.176, 0.664, 0.336], [0.336, 0.824, 0.176], [0.340, 0.340, 0.660], [0.660, 0.660, 0.340], [0.664, 0.176, 0.824], [0.824, 0.336, 0.664], [0.242, 0.758, 0.758], [0.250, 0.250, 0.250], [0.750, 0.750, 0.750], [0.758, 0.242, 0.242]],
  "total_magnetization_mub_per_cell": 0.01,
  "vol_a3_per_cell": 160.6,
  "ef_ev_per_atom": 0.240
}



{
  "formula": "ZnCrNi2",
  "functional": "PBE",
  "state": "optimized geometry",
  "lattice": [[4.273, -1.268, 0.000], [4.273, 1.268, 0.000], [-0.771, 0.000, 4.343]],
  "species": ["Zn", "Cr", "Ni", "Ni"],
  "frac_coords": [[0.000, 0.000, 0.000], [0.241, 0.241, 0.693], [0.494, 0.494, 0.498], [0.750, 0.750, 0.211]],
  "total_magnetization_mub_per_cell": 1.41,
  "vol_a3_per_cell": 47.1,
  "ef_ev_per_atom": 0.008
}



{
  "formula": "TlInAg2",
  "functional": "PBE",
  "state": "optimized geometry",
  "lattice": [[1.621, 0.936, 9.882], [-1.621, 0.936, 9.882], [0.000, -1.872, 9.882]],
  "species": ["Tl", "In", "Ag", "Ag"],
  "frac_coords": [[0.000, 0.000, 0.000], [0.238, 0.238, 0.238], [0.492, 0.492, 0.492], [0.753, 0.753, 0.753]],
  "total_magnetization_mub_per_cell": 0.00,
  "vol_a3_per_cell": 89.9,
  "ef_ev_per_atom": 0.128
}



{
  "formula": "Cs2Ag2BiTe4",
  "functional": "PBE",
  "state": "optimized geometry",
  "lattice": [[8.650, -2.268, 0.000], [8.650, 2.268, 0.000], [-3.094, 0.000, 8.555]],
  "species": ["Cs", "Cs", "Ag", "Ag", "Bi", "Te", "Te", "Te", "Te"],
  "frac_coords": [[0.132, 0.132, 0.060], [0.868, 0.868, 0.940], [0.309, 0.309, 0.516], [0.691, 0.691, 0.484], [0.000, 0.000, 0.500], [0.193, 0.193, 0.678], [0.479, 0.479, 0.726], [0.521, 0.521, 0.274], [0.807, 0.807, 0.322]],
  "total_magnetization_mub_per_cell": 0.00,
  "vol_a3_per_cell": 335.7,
  "raw_formation_energy_ev_per_atom": -0.498
}



Copy entry 2 word for word.
{
  "formula": "ZnCrNi2",
  "functional": "PBE",
  "state": "optimized geometry",
  "lattice": [[4.273, -1.268, 0.000], [4.273, 1.268, 0.000], [-0.771, 0.000, 4.343]],
  "species": ["Zn", "Cr", "Ni", "Ni"],
  "frac_coords": [[0.000, 0.000, 0.000], [0.241, 0.241, 0.693], [0.494, 0.494, 0.498], [0.750, 0.750, 0.211]],
  "total_magnetization_mub_per_cell": 1.41,
  "vol_a3_per_cell": 47.1,
  "ef_ev_per_atom": 0.008
}